Pa2Co6B, relaxed, DFT PBE-GGA; crystal system = trigonal; polymorph energy (0 for the lowest one) = 1.93 kcal/mol of atoms; calculated formation energy = -0.382 eV per atom
1.0
-0.689 0.390 -4.556
0.537 -5.349 -0.538
-4.335 -3.202 0.382
Pa Co B
2 6 1
Cartesian
-3.059 -5.403 -3.585
-1.429 -2.758 -1.128
-3.628 -4.332 -1.071
-3.357 -7.039 -1.344
-1.162 -5.419 -1.537
-0.859 -3.829 -3.642
-1.131 -1.122 -3.369
-3.325 -2.742 -3.176
0.000 0.000 0.000